GaWIO2 | PBEsol | relaxed

Lattice parameters (Å, degrees): 3.9508 3.9508 5.8109 90.00 90.00 90.00
Closest atoms and distances in Å follow each position.
Sites, in units of the cell vectors:
Ga1 0.0000 0.0000 0.0000  4 I 2.79
W1 0.5000 0.5000 0.5000  4 O 1.98
I1 0.5000 0.5000 0.0000  4 Ga 2.79, 2 W 2.91
O1 0.0000 0.5000 0.5000  2 W 1.98
O2 0.5000 0.0000 0.5000  2 W 1.98

Output
As for the symmetry: P4/mmm. For the uncorrected formation energy, the calculation gives -713 meV/atom. As for the mass density: 7.551 Mg/m³.

---

TlTcSe2Cl | PBEsol | relaxed

Lattice parameters (Å, degrees): 5.2779 5.2779 5.0513 90.00 90.00 90.00
Closest atoms and distances in Å follow each position.
Sites, in units of the cell vectors:
Tl1 0.0000 0.0000 0.0000  2 Cl 2.53, 4 Se 2.64
Tc1 0.5000 0.5000 0.5000  8 Se 3.65, 4 Cl 3.73
Se1 0.0000 0.5000 0.0000  2 Tl 2.64
Se2 0.5000 0.0000 0.0000  2 Tl 2.64
Cl1 0.0000 0.0000 0.5000  2 Tl 2.53

Output
As for the symmetry: P4/mmm. For the uncorrected formation energy, the calculation gives 1055 meV/atom. As for the mass density: 5.851 Mg/m³.

---

NaSrGaF6 | PBEsol | relaxed

Lattice parameters (Å, degrees): 5.3493 9.2017 10.3130 90.00 90.00 90.00
Closest atoms and distances in Å follow each position.
Sites, in units of the cell vectors:
Na1 0.0414 0.1483 0.0879  6 F 2.23-2.36
Na2 0.4586 0.8517 0.5879  6 F 2.23-2.36
Na3 0.5414 0.3517 0.9121  6 F 2.23-2.36
Na4 0.9586 0.6483 0.4121  6 F 2.23-2.36
Sr1 0.0055 0.6834 0.8228  6 F 2.38-2.56
Sr2 0.4945 0.3166 0.3228  6 F 2.38-2.56
Sr3 0.5055 0.8166 0.1772  6 F 2.38-2.56
Sr4 0.9945 0.1834 0.6772  6 F 2.38-2.56
Ga1 0.0497 0.5036 0.1250  6 F 1.89-1.92
Ga2 0.4503 0.4964 0.6250  6 F 1.89-1.92
Ga3 0.5497 0.9964 0.8750  6 F 1.89-1.92
Ga4 0.9503 0.0036 0.3750  6 F 1.89-1.92
F1 0.1321 0.9893 0.5314  1 Ga 1.89
F2 0.1380 0.8451 0.3060  1 Ga 1.91
F3 0.1979 0.1262 0.2995  1 Ga 1.91
F4 0.2040 0.6427 0.5867  1 Ga 1.92
F5 0.2271 0.6588 0.0421  1 Ga 1.92
F6 0.2400 0.5348 0.2788  1 Ga 1.91
F7 0.2600 0.4652 0.7788  1 Ga 1.91
F8 0.2729 0.3412 0.5421  1 Ga 1.92
F9 0.2960 0.3573 0.0867  1 Ga 1.92
F10 0.3021 0.8738 0.7995  1 Ga 1.91
F11 0.3620 0.1549 0.8060  1 Ga 1.91
F12 0.3679 0.0107 0.0314  1 Ga 1.89
F13 0.6321 0.5107 0.4686  1 Ga 1.89
F14 0.6380 0.6549 0.6940  1 Ga 1.91
F15 0.6979 0.3738 0.7005  1 Ga 1.91
F16 0.7040 0.8573 0.4133  1 Ga 1.92
F17 0.7271 0.8412 0.9579  1 Ga 1.92
F18 0.7400 0.9652 0.7212  1 Ga 1.91
F19 0.7600 0.0348 0.2212  1 Ga 1.91
F20 0.7729 0.1588 0.4579  1 Ga 1.92
F21 0.7960 0.1427 0.9133  1 Ga 1.92
F22 0.8021 0.6262 0.2005  1 Ga 1.91
F23 0.8620 0.3451 0.1940  1 Ga 1.91
F24 0.8679 0.4893 0.9686  1 Ga 1.89

Output
As for the symmetry: P2_12_12_1. For the uncorrected formation energy, the calculation gives -3161 meV/atom. As for the mass density: 3.851 Mg/m³.

---

LaYSb2 | PBEsol | relaxed

Lattice parameters (Å, degrees): 7.6765 7.6765 7.6765 33.69 33.69 33.69
Closest atoms and distances in Å follow each position.
Sites, in units of the cell vectors:
La1 0.0000 0.0000 0.0000  6 Sb 3.20
Y1 0.5000 0.5000 0.5000  6 Sb 3.09
Sb1 0.2456 0.2456 0.2456  3 Y 3.09, 3 La 3.20
Sb2 0.7544 0.7544 0.7544  3 Y 3.09, 3 La 3.20

Output
As for the symmetry: R-3m. For the uncorrected formation energy, the calculation gives -1223 meV/atom. The value obtained for the excess energy over the best structure of this formula in the dataset is 0 meV per atom. As for the mass density: 6.312 Mg/m³.